AlVGa2O6: optimized geometry, PBE with a Hubbard U.

Values from the calculation:
Total DFT energy (no corrections), eV per atom: -6.887

Cell: 6.502 6.502 5.159 Å, 96.60 96.60 85.99°
Element x y z (fractional)
1 Al 0.228 0.772 0.750
2 Al 0.772 0.228 0.250
3 V 0.410 0.590 0.250
4 V 0.590 0.410 0.750
5 Ga 0.091 0.281 0.800
6 Ga 0.281 0.091 0.300
7 Ga 0.719 0.909 0.700
8 Ga 0.909 0.719 0.200
9 O 0.042 0.219 0.133
10 O 0.143 0.647 0.412
11 O 0.219 0.042 0.633
12 O 0.293 0.484 0.876
13 O 0.353 0.857 0.088
14 O 0.484 0.293 0.376
15 O 0.516 0.707 0.624
16 O 0.647 0.143 0.912
17 O 0.707 0.516 0.124
18 O 0.781 0.958 0.367
19 O 0.857 0.353 0.588
20 O 0.958 0.781 0.867